(1)
YMg7Ag5 | PBE-GGA | relaxed

Computed properties:
- Formation energy: -0.19 eV/atom
- Magnetic moment: 0.000 μB per formula unit
- Energy: -2.638 eV per atom
- SG: Imm2 (44)

abc: 5.6478 7.4502 7.4502
angles: 82.55 67.73 67.73
Last column: nearest neighbours and their distance in Å.
Sites, in units of the cell vectors:
Y: 0.0036 0.9964 0.9964  10 Mg 3.26-3.55, 2 Ag 3.49
Mg: 0.6558 0.3442 0.3442  4 Ag 2.94, 5 Mg 3.05-3.26
Mg: 0.3403 0.6597 0.6597  6 Ag 3.00-3.07, 3 Mg 3.05-3.33, 1 Y 3.26
Mg: 0.9915 0.3528 0.6641  5 Ag 2.89-3.08, 4 Mg 3.06-3.19
Mg: 0.9915 0.6641 0.3528  5 Ag 2.89-3.08, 4 Mg 3.06-3.19
Mg: 0.2812 0.2188 0.2188  4 Ag 2.80, 4 Mg 2.95-3.07
Mg: 0.5066 0.7905 0.1962  5 Ag 2.81-2.87, 1 Mg 2.95
Mg: 0.5066 0.1962 0.7905  5 Ag 2.81-2.87, 1 Mg 2.95
Ag: 0.5001 0.0037 0.4927  7 Mg 2.80-3.01, 3 Ag 2.81-2.91
Ag: 0.0034 0.0037 0.4927  7 Mg 2.80-3.01, 3 Ag 2.81-2.91
Ag: 0.5001 0.4927 0.0037  7 Mg 2.80-3.01, 3 Ag 2.81-2.91
Ag: 0.0034 0.4927 0.0037  7 Mg 2.80-3.01, 3 Ag 2.81-2.91
Ag: 0.7156 0.7844 0.7844  6 Mg 2.84-3.08, 4 Ag 2.91

(2)
Y2MgAg | PBE-GGA | relaxed

Computed properties:
- Formation energy: -0.14 eV/atom
- Magnetic moment: 0.048 μB per formula unit
- Energy: -4.485 eV per atom
- SG: Cm (8)

abc: 6.2888 6.2888 5.2929
angles: 65.02 65.02 33.35
Last column: nearest neighbours and their distance in Å.
Sites, in units of the cell vectors:
Y: 0.0062 0.0062 0.9941  4 Ag 3.21, 4 Y 3.52-3.57, 4 Mg 3.53-3.56
Y: 0.2213 0.2213 0.2785  2 Ag 3.12, 4 Mg 3.28
Mg: 0.7867 0.7867 0.7127  2 Ag 2.81
Ag: 0.4858 0.4858 0.5147  2 Mg 2.81, 2 Y 3.12

(3)
Y2Mg6Ag3 | PBE-GGA | relaxed

Computed properties:
- Formation energy: -0.10 eV/atom
- Magnetic moment: 0.000 μB per formula unit
- Energy: -2.923 eV per atom
- SG: P-62m (189)

abc: 3.7811 8.8888 8.8888
angles: 120.00 90.00 90.00
Last column: nearest neighbours and their distance in Å.
Sites, in units of the cell vectors:
Y: 0.0000 0.6667 0.3333  6 Ag 3.31, 6 Mg 3.62
Y: 0.0000 0.3333 0.6667  6 Ag 3.31, 6 Mg 3.62
Mg: 0.5000 0.6941 0.6941  1 Ag 2.62
Mg: 0.5000 0.0000 0.3059  1 Ag 2.62
Mg: 0.0000 0.1925 0.1925  2 Ag 2.64
Mg: 0.0000 0.8075 0.0000  2 Ag 2.64
Mg: 0.5000 0.3059 0.0000  1 Ag 2.62
Mg: 0.0000 0.0000 0.8075  2 Ag 2.64
Ag: 0.5000 0.3996 0.3996  3 Mg 2.62-2.64
Ag: 0.5000 0.6004 0.0000  3 Mg 2.62-2.64
Ag: 0.5000 0.0000 0.6004  3 Mg 2.62-2.64

(4)
YMg2Ag | PBE-GGA | relaxed

Computed properties:
- Formation energy: -0.21 eV/atom
- Magnetic moment: 0.000 μB per formula unit
- Energy: -3.339 eV per atom
- SG: Pnma (62)

abc: 5.7190 8.1208 16.2808
angles: 90.00 90.00 90.00
Last column: nearest neighbours and their distance in Å.
Sites, in units of the cell vectors:
Y: 0.4536 0.2500 0.1381  3 Ag 3.04-3.14
Y: 0.9536 0.7500 0.3619  3 Ag 3.04-3.14
Y: 0.5464 0.7500 0.8619  3 Ag 3.04-3.14
Y: 0.0464 0.2500 0.6381  3 Ag 3.04-3.14
Y: 0.7506 0.2500 0.3942  3 Ag 3.09-3.14, 4 Mg 3.39-3.44
Y: 0.2506 0.7500 0.1058  3 Ag 3.09-3.14, 4 Mg 3.39-3.44
Y: 0.2494 0.7500 0.6058  3 Ag 3.09-3.14, 4 Mg 3.39-3.44
Y: 0.7494 0.2500 0.8942  3 Ag 3.09-3.14, 4 Mg 3.39-3.44
Mg: 0.9558 0.0535 0.2150  3 Ag 2.79-2.86
Mg: 0.4558 0.9465 0.2850  3 Ag 2.79-2.86
Mg: 0.0442 0.5535 0.7850  3 Ag 2.79-2.86
Mg: 0.5442 0.4465 0.7150  3 Ag 2.79-2.86
Mg: 0.0442 0.9465 0.7850  3 Ag 2.79-2.86
Mg: 0.5442 0.0535 0.7150  3 Ag 2.79-2.86
Mg: 0.9558 0.4465 0.2150  3 Ag 2.79-2.86
Mg: 0.4558 0.5535 0.2850  3 Ag 2.79-2.86
Mg: 0.7452 0.5542 0.0365  3 Ag 2.81-2.88
Mg: 0.2452 0.4458 0.4635  3 Ag 2.81-2.88
Mg: 0.2548 0.0542 0.9635  3 Ag 2.81-2.88
Mg: 0.7548 0.9458 0.5365  3 Ag 2.81-2.88
Mg: 0.2548 0.4458 0.9635  3 Ag 2.81-2.88
Mg: 0.7548 0.5542 0.5365  3 Ag 2.81-2.88
Mg: 0.7452 0.9458 0.0365  3 Ag 2.81-2.88
Mg: 0.2452 0.0542 0.4635  3 Ag 2.81-2.88
Ag: 0.2475 0.2500 0.3170  6 Mg 2.79-2.87, 1 Y 3.11
Ag: 0.7475 0.7500 0.1830  6 Mg 2.79-2.87, 1 Y 3.11
Ag: 0.7525 0.7500 0.6830  6 Mg 2.79-2.87, 1 Y 3.11
Ag: 0.2525 0.2500 0.8170  6 Mg 2.79-2.87, 1 Y 3.11
Ag: 0.9604 0.2500 0.0689  6 Mg 2.81-2.88, 3 Y 3.04-3.11
Ag: 0.4604 0.7500 0.4311  6 Mg 2.81-2.88, 3 Y 3.04-3.11
Ag: 0.0396 0.7500 0.9311  6 Mg 2.81-2.88, 3 Y 3.04-3.11
Ag: 0.5396 0.2500 0.5689  6 Mg 2.81-2.88, 3 Y 3.04-3.11